DFT (PBE-GGA) results for a relaxed Tb5YAl6 crystal.

Cell and atoms, written as POSCAR:
```
Tb5YAl6
1.0
-4.095 -0.765 2.947
-3.475 -3.003 -5.609
0.674 -7.258 3.469
Al Tb Y
6 5 1
direct
0.500 0.250 0.000 Al
0.834 0.249 0.333 Al
0.834 0.751 0.333 Al
0.166 0.249 0.667 Al
0.166 0.751 0.667 Al
0.500 0.750 0.000 Al
0.000 0.500 0.000 Tb
0.333 0.000 0.333 Tb
0.333 0.500 0.334 Tb
0.667 0.000 0.667 Tb
0.667 0.500 0.666 Tb
0.000 0.000 0.000 Y
```

The formation energy comes out at -0.401 eV/atom. As for the crystal system: orthorhombic. Its space-group type is No. 65.